Ba4Tl3 (PBE, optimized geometry); space group = No. 166; formation enthalpy at 0 K = -0.331 eV/atom; calculated total energy = -17.11 eV per formula unit; mass density = 6.2 Mg/m³; crystal system = trigonal
1.0
3.032 1.750 9.818
-3.032 1.750 9.818
0.000 -3.501 9.818
Ba Tl
4 3
direct
0.124 0.124 0.124
0.376 0.376 0.376
0.624 0.624 0.624
0.876 0.876 0.876
0.248 0.248 0.248
0.500 0.500 0.500
0.752 0.752 0.752